The following is a DFT calculation (SCAN) of TaCr2CoNi at its PBEsol-relaxed geometry.

Values from the calculation:
- ΔH_f (0 K) (meV/atom) = 1135
- N(E_F) (states/eV/f.u.) = 5.127
- space-group type = No. 123

Cell: 4.117 4.117 4.515 Å, 90.00 90.00 90.00°
Fractional coordinates of all 5 atoms:
Ta: 0.000 0.000 0.000
Cr: 0.000 0.500 0.500
Cr: 0.500 0.000 0.500
Co: 0.000 0.000 0.500
Ni: 0.500 0.500 0.000